Record 1
The following is a GGA-PBE calculation of a relaxed structure of NdEuErHg, from Alexandria via LeMat-Bulk.

- Space group: F-43m (216)
- Total moment: 7.42 μB/cell
- Final energy: -20.09 eV per cell

The structure in POSCAR format:
```
NdEuErHg
1.0
-0.313 5.441 -0.802
-3.979 2.090 -3.185
-4.110 2.886 2.265
Eu Nd Hg Er
1 1 1 1
direct
0.750 0.750 0.750
0.500 0.500 0.500
0.250 0.250 0.250
0.000 0.000 0.000
```



Record 2
The following is a GGA-PBE calculation of a relaxed structure of Pm6Ir2RhBr3, from Alexandria via LeMat-Bulk.

- Space group: C2/m (12)
- Total moment: 0.00 μB/cell
- Final energy: -71.79 eV per cell

The structure in POSCAR format:
```
Pm6Ir2RhBr3
1.0
7.146 -0.002 0.001
-3.573 6.189 0.001
-1.191 -2.063 7.761
Pm Ir Rh Br
6 2 1 3
direct
0.935 0.601 0.805
0.731 0.731 0.195
0.065 0.399 0.195
0.601 0.935 0.805
0.269 0.269 0.805
0.399 0.065 0.195
0.333 0.667 0.000
0.667 0.333 0.000
0.000 0.000 0.000
0.167 0.833 0.500
0.833 0.167 0.500
0.500 0.500 0.500
```



Record 3
The following is a GGA-PBE calculation of a relaxed structure of BeTeCl4, from Alexandria via LeMat-Bulk.

- Space group: F-43m (216)
- Total moment: 0.02 μB/cell
- Final energy: -8.36 eV per cell

The structure in POSCAR format:
```
BeTeCl4
1.0
0.000 4.168 4.168
4.168 0.000 4.168
4.168 4.168 0.000
Be Te Cl
1 1 4
direct
0.000 0.000 0.000
0.750 0.750 0.750
0.877 0.374 0.374
0.374 0.374 0.877
0.374 0.877 0.374
0.374 0.374 0.374
```